Entry 1:
{
  "formula": "Sr6S5Cl",
  "functional": "PBE",
  "state": "optimized geometry",
  "raw_formation_energy_ev_per_atom": -2.09,
  "e_tot_ev_per_atom": -4.801,
  "sg": "C2/m (12)",
  "lattice_angstrom": [[3.7037, -6.4133, 0.0000], [3.7037, 6.4133, 0.0000], [-2.4654, 0.0000, 6.9810]],
  "species": ["Sr", "Sr", "Sr", "Sr", "Sr", "Sr", "S", "S", "S", "S", "S", "Cl"],
  "fractional_positions": [[0.0691, 0.4143, 0.7432], [0.2406, 0.2406, 0.2564], [0.4143, 0.0691, 0.7432], [0.5857, 0.9309, 0.2568], [0.7594, 0.7594, 0.7436], [0.9309, 0.5857, 0.2568], [0.0000, 0.0000, 0.5000], [0.1671, 0.8329, 0.0000], [0.3369, 0.6631, 0.5000], [0.6631, 0.3369, 0.5000], [0.8329, 0.1671, 0.0000], [0.5000, 0.5000, 0.0000]]
}

***

Entry 2:
{
  "formula": "Sr3S2Cl2",
  "functional": "PBE",
  "state": "optimized geometry",
  "raw_formation_energy_ev_per_atom": -2.24,
  "e_tot_ev_per_atom": -4.670,
  "sg": "C2/m (12)",
  "lattice_angstrom": [[7.1822, -2.1315, 0.0000], [7.1822, 2.1315, 0.0000], [-1.8513, 0.0000, 7.4400]],
  "species": ["Sr", "Sr", "Sr", "S", "S", "Cl", "Cl"],
  "fractional_positions": [[0.0000, 0.0000, 0.0000], [0.2263, 0.2263, 0.7572], [0.7737, 0.7737, 0.2428], [0.3756, 0.3756, 0.0998], [0.6244, 0.6244, 0.9002], [0.1510, 0.1510, 0.3550], [0.8490, 0.8490, 0.6450]]
}